No. 1
This record from Alexandria describes a geometry-optimized NaAlAs2O6 structure. The functional is GGA-PBE.

Properties
As for the symmetry: C2/c, No. 15. The calculation puts the total energy at -6.074 eV/atom. The uncorrected formation energy is -1.66 eV/atom.

Unit cell a=6.966 b=7.482 c=7.482 alpha=81.25 beta=63.95 gamma=63.95
Fractional positions:
As 0.663 0.229 0.332
O 0.309 0.234 0.983
O 0.191 0.017 0.766
O 0.926 0.253 0.354
O 0.074 0.747 0.646
Na 0.750 0.260 0.740
As 0.163 0.332 0.229
As 0.337 0.771 0.668
O 0.020 0.591 0.211
O 0.520 0.211 0.591
O 0.426 0.354 0.253
O 0.480 0.789 0.409
O 0.574 0.646 0.747
O 0.809 0.983 0.234
As 0.837 0.668 0.771
Na 0.250 0.740 0.260
Al 0.250 0.220 0.780
O 0.691 0.766 0.017
Al 0.750 0.780 0.220
O 0.980 0.409 0.789

***

No. 2
This record from Alexandria describes a geometry-optimized Ba5Rh2Au2 structure. The functional is GGA-PBE.

Properties
As for the symmetry: Cmce, No. 64. The calculation puts the total energy at -3.818 eV/atom.

Unit cell a=8.588 b=8.497 c=9.446 alpha=90.00 beta=62.96 gamma=90.00
Fractional positions:
Rh 0.384 0.891 0.000
Au 0.205 0.000 0.589
Ba 0.458 0.167 0.739
Ba 0.958 0.333 0.739
Au 0.705 0.500 0.589
Rh 0.116 0.391 0.000
Au 0.795 0.000 0.411
Rh 0.616 0.109 0.000
Ba 0.302 0.667 0.739
Au 0.295 0.500 0.411
Ba 0.000 0.000 0.000
Ba 0.500 0.500 0.000
Ba 0.198 0.167 0.261
Ba 0.802 0.833 0.739
Ba 0.042 0.667 0.261
Rh 0.884 0.609 0.000
Ba 0.698 0.333 0.261
Ba 0.542 0.833 0.261

***

No. 3
This record from Alexandria describes a geometry-optimized Zr2AgW structure. The functional is GGA-PBE.

Properties
As for the symmetry: R3m, No. 160. The calculation puts the total energy at -7.833 eV/atom. The value obtained for the polymorph energy (0 for the lowest one) is 0.390 eV per atom.

Unit cell a=10.721 b=10.721 c=10.721 alpha=15.65 beta=15.65 gamma=15.65
Fractional positions:
W 0.754 0.754 0.754
Zr 0.004 0.004 0.004
Zr 0.246 0.246 0.246
Ag 0.496 0.496 0.496

***

No. 4
This record from Alexandria describes a geometry-optimized AcHo structure. The functional is GGA-PBE.

Properties
As for the symmetry: R-3m, No. 166. The calculation puts the total energy at -4.137 eV/atom. The value obtained for the polymorph energy (0 for the lowest one) is 0.145 eV per atom.

Unit cell a=6.112 b=6.112 c=6.112 alpha=57.83 beta=57.83 gamma=57.83
Fractional positions:
Ac 0.618 0.618 0.618
Ac 0.382 0.382 0.382
Ho 0.138 0.138 0.138
Ho 0.862 0.862 0.862

***

No. 5
This record from Alexandria describes a geometry-optimized Ba2TlRe structure. The functional is GGA-PBE.

Properties
As for the symmetry: Cmmm, No. 65. The calculation puts the total energy at -3.849 eV/atom. The value obtained for the polymorph energy (0 for the lowest one) is 0.193 eV per atom.

Unit cell a=9.181 b=5.916 c=3.809 alpha=89.98 beta=65.51 gamma=129.98
Each line ends with the local moment (μB).
Fractional positions:
Tl 0.500 0.500 0.000  0.00
Ba 0.500 0.000 0.500  -0.01
Re 0.000 0.500 0.500  2.06
Ba 0.000 0.000 0.000  -0.01

***

No. 6
This record from Alexandria describes a geometry-optimized LiLa2Pt3 structure. The functional is GGA-PBE.

Properties
As for the symmetry: P6_3/mmc, No. 194. The calculation puts the total energy at -5.877 eV/atom.

Unit cell a=4.437 b=4.437 c=16.022 alpha=90.00 beta=90.00 gamma=120.00
Fractional positions:
La 0.000 0.000 0.122
Pt 0.667 0.333 0.972
La 0.000 0.000 0.622
Pt 0.333 0.667 0.028
Pt 0.333 0.667 0.472
Pt 0.667 0.333 0.250
Pt 0.333 0.667 0.750
La 0.000 0.000 0.878
La 0.000 0.000 0.378
Li 0.667 0.333 0.750
Pt 0.667 0.333 0.528
Li 0.333 0.667 0.250

***

No. 7
This record from Alexandria describes a geometry-optimized Si3Sb structure. The functional is GGA-PBE.

Properties
As for the symmetry: Pm-3m, No. 221. The calculation puts the total energy at -4.430 eV/atom. The value obtained for the polymorph energy (0 for the lowest one) is 0.330 eV per atom. The uncorrected formation energy is 0.67 eV/atom.

Unit cell a=4.202 b=4.202 c=4.202 alpha=90.00 beta=90.00 gamma=90.00
Fractional positions:
Si 0.000 0.500 0.500
Si 0.500 0.500 0.000
Si 0.500 0.000 0.500
Sb 0.000 0.000 0.000

***

No. 8
This record from Alexandria describes a geometry-optimized KTeAs2 structure. The functional is GGA-PBE.

Properties
As for the symmetry: P4/mmm, No. 123. The calculation puts the total energy at -3.276 eV/atom. The uncorrected formation energy is 0.11 eV/atom.

Unit cell a=4.637 b=4.637 c=4.634 alpha=90.00 beta=90.00 gamma=90.00
Fractional positions:
K 0.500 0.000 0.500
As 0.000 0.000 0.000
Te 0.000 0.500 0.500
As 0.500 0.500 0.000